First-principles (PBE) data for crystalline BeCu7 at its relaxed geometry, as listed in the Alexandria database.

Results
- electronic total energy (eV per atom) = -4.049
- space-group type = No. 225

Geometry as extended XYZ:
```
8
Lattice="0.0000 3.5858 3.5858 3.5858 0.0000 3.5858 3.5858 3.5858 0.0000" Properties=species:S:1:pos:R:3 pbc="T T T"
Be 0.0000 0.0000 0.0000
Cu 1.7929 1.7929 0.0000
Cu 1.7929 0.0000 1.7929
Cu 3.5858 1.7929 1.7929
Cu 0.0000 1.7929 1.7929
Cu 1.7929 3.5858 1.7929
Cu 1.7929 1.7929 3.5858
Cu 3.5858 3.5858 3.5858
```



First-principles (PBE) data for crystalline BRuO3 at its relaxed geometry, as listed in the Alexandria database.

Results
- electronic total energy (eV per atom) = -5.841
- space-group type = No. 221

Geometry as extended XYZ:
```
5
Lattice="3.8069 0.0000 0.0000 0.0000 3.8069 0.0000 0.0000 0.0000 3.8069" Properties=species:S:1:pos:R:3 pbc="T T T"
B 0.0000 0.0000 0.0000
Ru 1.9035 1.9035 1.9035
O 0.0000 1.9035 1.9035
O 1.9035 0.0000 1.9035
O 1.9035 1.9035 0.0000
```



First-principles (PBE) data for crystalline LaCo2Te at its relaxed geometry, as listed in the Alexandria database.

Results
- electronic total energy (eV per atom) = -5.859
- space-group type = No. 38

Geometry as extended XYZ:
```
4
Lattice="4.3050 0.0000 0.0000 0.0000 2.4856 3.7644 0.0000 -2.4856 3.7644" Properties=species:S:1:pos:R:3 pbc="T T T"
La 0.0000 0.0000 0.0000
Co 0.0000 0.0000 4.3048
Co 2.1525 0.0000 5.2692
Te 2.1525 0.0000 2.6665
```